A plane-wave DFT calculation with GGA-PBE was carried out for a relaxed KCuO3 crystal.

Volume   57.95 Å³/f.u.
E_form (uncorrected)   -0.324 eV/atom
DOS(E_F)   1.0988 states/eV per atom
Total magnetic moment   1.91 μB per cell

abc: 3.870 3.870 3.870
angles: 90.00 90.00 90.00
Atoms (fractional coordinates):
K1 0.500 0.500 0.500
O1 0.000 0.500 0.000
O2 0.000 0.000 0.500
O3 0.500 0.000 0.000
Cu1 0.000 0.000 0.000

A plane-wave DFT calculation with GGA-PBE was carried out for a relaxed Li6Al2Tl crystal.

Calculated formation energy   -0.166 eV/atom
Volume   152.38 Å³/f.u.
DOS(E_F)   0.2328 states/eV per atom
Total magnetic moment   0.00 μB per cell

abc: 5.375 5.376 5.376
angles: 96.23 96.22 96.22
Atoms (fractional coordinates):
Li1 0.169 0.500 0.831
Li2 0.831 0.169 0.500
Li3 0.831 0.500 0.169
Li4 0.500 0.169 0.831
Li5 0.169 0.831 0.500
Li6 0.500 0.831 0.169
Al1 0.660 0.660 0.660
Al2 0.340 0.340 0.340
Tl1 0.000 0.000 0.000

A plane-wave DFT calculation with GGA-PBE was carried out for a relaxed AcGdPtAu crystal.

Calculated formation energy   -0.891 eV/atom
Volume   103.14 Å³/f.u.
DOS(E_F)   0.9398 states/eV per atom
Total magnetic moment   7.14 μB per cell

abc: 5.264 5.264 5.264
angles: 60.00 60.00 60.00
Atoms (fractional coordinates):
Ac1 0.000 0.000 0.000
Gd1 0.500 0.500 0.500
Au1 0.750 0.750 0.750
Pt1 0.250 0.250 0.250

A plane-wave DFT calculation with GGA-PBE was carried out for a relaxed Ba2MgZr crystal.

Calculated formation energy   0.546 eV/atom
Volume   141.28 Å³/f.u.
DOS(E_F)   1.4427 states/eV per atom
Total magnetic moment   0.00 μB per cell

abc: 6.303 6.303 6.583
angles: 81.84 81.84 33.11
Atoms (fractional coordinates):
Ba1 0.998 0.998 0.997
Ba2 0.502 0.502 0.503
Mg1 0.250 0.250 0.250
Zr1 0.750 0.750 0.750

A plane-wave DFT calculation with GGA-PBE was carried out for a relaxed Tm2BeSiC crystal.

Volume   84.88 Å³/f.u.
E_form (uncorrected)   -0.558 eV/atom
DOS(E_F)   0.2294 states/eV per atom
Total magnetic moment   0.00 μB per cell

abc: 3.672 6.235 7.785
angles: 107.74 90.00 90.00
Atoms (fractional coordinates):
Tm1 0.750 0.802 0.613
Tm2 0.750 0.784 0.033
Tm3 0.250 0.198 0.387
Tm4 0.250 0.216 0.967
Be1 0.250 0.543 0.752
Be2 0.750 0.457 0.248
Si1 0.250 0.674 0.299
Si2 0.750 0.326 0.701
C1 0.250 0.826 0.826
C2 0.750 0.174 0.174

A plane-wave DFT calculation with GGA-PBE was carried out for a relaxed Ba2Ni crystal.

Calculated formation energy   0.270 eV/atom
Volume   106.36 Å³/f.u.
DOS(E_F)   0.9294 states/eV per atom
Total magnetic moment   0.00 μB per cell

abc: 5.354 5.354 8.570
angles: 90.00 90.00 120.00
Atoms (fractional coordinates):
Ba1 0.000 0.000 0.000
Ba2 0.000 0.000 0.500
Ba3 0.333 0.667 0.250
Ba4 0.667 0.333 0.750
Ni1 0.667 0.333 0.250
Ni2 0.333 0.667 0.750

A plane-wave DFT calculation with GGA-PBE was carried out for a relaxed Ba2PrErS4 crystal.

Volume   216.26 Å³/f.u.
E_form (uncorrected)   -1.999 eV/atom
DOS(E_F)   0.4476 states/eV per atom
Total magnetic moment   0.00 μB per cell

abc: 4.177 7.245 7.539
angles: 108.60 90.00 90.00
Atoms (fractional coordinates):
Ba1 0.500 0.000 0.500
Ba2 0.000 0.500 0.500
Pr1 0.500 0.500 0.000
Er1 0.000 0.000 0.000
S1 0.500 0.226 0.210
S2 0.500 0.774 0.790
S3 0.000 0.249 0.784
S4 0.000 0.751 0.216

A plane-wave DFT calculation with GGA-PBE was carried out for a relaxed Mn2CdBr crystal.

Volume   97.77 Å³/f.u.
E_form (uncorrected)   0.261 eV/atom
DOS(E_F)   0.6615 states/eV per atom
Relative energy among the computed polymorphs   0.21 eV/f.u.
Total magnetic moment   7.87 μB per cell

abc: 6.743 6.743 4.713
angles: 90.75 90.75 27.15
Atoms (fractional coordinates):
Br1 0.435 0.435 0.751
Cd1 0.212 0.212 0.250
Mn1 0.093 0.093 0.746
Mn2 0.759 0.759 0.752

A plane-wave DFT calculation with GGA-PBE was carried out for a relaxed Tb2ErCd crystal.

Calculated formation energy   -0.064 eV/atom
Volume   114.17 Å³/f.u.
DOS(E_F)   1.2065 states/eV per atom
Relative energy among the computed polymorphs   0.31 eV/f.u.
Total magnetic moment   0.00 μB per cell

abc: 3.840 5.453 5.453
angles: 90.00 90.00 90.00
Atoms (fractional coordinates):
Cd1 0.500 0.000 0.000
Tb1 0.000 0.000 0.500
Tb2 0.000 0.500 0.000
Er1 0.500 0.500 0.500

A plane-wave DFT calculation with GGA-PBE was carried out for a relaxed Mn5Re4B2 crystal.

Calculated formation energy   0.013 eV/atom
Volume   129.05 Å³/f.u.
DOS(E_F)   0.8724 states/eV per atom
Total magnetic moment   3.72 μB per cell

abc: 2.863 6.118 7.411
angles: 96.12 90.00 90.00
Atoms (fractional coordinates):
Mn1 0.000 0.538 0.331
Mn2 0.000 0.166 0.138
Mn3 0.000 0.500 0.000
Mn4 0.000 0.834 0.862
Mn5 0.000 0.462 0.669
Re1 0.500 0.781 0.567
Re2 0.500 0.182 0.842
Re3 0.500 0.219 0.433
Re4 0.500 0.818 0.158
B1 0.000 0.069 0.623
B2 0.000 0.931 0.377

A plane-wave DFT calculation with GGA-PBE was carried out for a relaxed NdGaAu crystal.

Calculated formation energy   -0.765 eV/atom
Volume   67.83 Å³/f.u.
DOS(E_F)   0.6249 states/eV per atom
Total magnetic moment   0.00 μB per cell

abc: 4.580 5.993 5.827
angles: 78.31 66.86 67.54
Atoms (fractional coordinates):
Nd1 0.537 0.202 0.725
Nd2 0.463 0.798 0.275
Ga1 0.157 0.397 0.290
Ga2 0.843 0.603 0.710
Au1 0.823 0.218 0.137
Au2 0.177 0.782 0.863

A plane-wave DFT calculation with GGA-PBE was carried out for a relaxed UH8Ir2Pd crystal.

Volume   103.16 Å³/f.u.
DOS(E_F)   0.7719 states/eV per atom
Total magnetic moment   2.30 μB per cell

abc: 4.101 4.943 6.419
angles: 61.87 71.37 65.49
Atoms (fractional coordinates):
U1 0.500 0.500 0.500
H1 0.864 0.744 0.529
H2 0.687 0.497 0.129
H3 0.136 0.256 0.471
H4 0.313 0.503 0.871
H5 0.625 0.012 0.253
H6 0.375 0.988 0.747
H7 0.110 0.012 0.253
H8 0.890 0.988 0.747
Ir1 0.247 0.325 0.182
Ir2 0.753 0.675 0.818
Pd1 0.000 0.000 0.000

| no. | electronic total energy (Ry per atom) |
| --- | --- |
| 1 | -0.3188 |
| 2 | -0.1864 |
| 3 | -0.5709 |
| 4 | -0.2169 |
| 5 | -0.4425 |
| 6 | -0.2160 |
| 7 | -0.4197 |
| 8 | -0.3653 |
| 9 | -0.2755 |
| 10 | -0.7273 |
| 11 | -0.3275 |
| 12 | -0.3749 |